Record 1
Compound: SmBi3O6
Source: Alexandria
Functional: PBE-GGA
Structure: optimized geometry

Unit cell a=5.925 b=6.432 c=10.476 alpha=90.00 beta=124.21 gamma=90.00
Fractional positions:
Sm1 0.000 0.000 0.000
Sm2 0.000 0.500 0.500
Bi1 0.264 0.030 0.752
Bi2 0.264 0.470 0.252
Bi3 0.500 0.000 0.500
Bi4 0.500 0.500 0.000
Bi5 0.736 0.530 0.748
Bi6 0.736 0.970 0.248
O1 0.089 0.066 0.247
O2 0.089 0.434 0.747
O3 0.232 0.681 0.075
O4 0.232 0.819 0.575
O5 0.407 0.172 0.068
O6 0.407 0.328 0.568
O7 0.593 0.672 0.432
O8 0.593 0.828 0.932
O9 0.768 0.181 0.425
O10 0.768 0.319 0.925
O11 0.911 0.566 0.253
O12 0.911 0.934 0.753

Calculated total energy ... -126.95 eV for the cell shown
Raw formation energy ... -1.74 eV per atom
SG ... P2_1/c (14)


Record 2
Compound: Si2TcSb
Source: Alexandria
Functional: PBE-GGA
Structure: optimized geometry

Unit cell a=4.629 b=4.629 c=3.220 alpha=90.00 beta=90.00 gamma=108.69
Fractional positions:
Si1 0.000 0.500 0.000
Si2 0.500 0.000 0.000
Tc1 0.000 0.000 0.500
Sb1 0.500 0.500 0.500

Calculated total energy ... -23.49 eV for the cell shown
Raw formation energy ... 0.46 eV per atom
SG ... Cmmm (65)


Copy entry 1 word for word.
Compound: SmBi3O6
Source: Alexandria
Functional: PBE-GGA
Structure: optimized geometry

Unit cell a=5.925 b=6.432 c=10.476 alpha=90.00 beta=124.21 gamma=90.00
Fractional positions:
Sm1 0.000 0.000 0.000
Sm2 0.000 0.500 0.500
Bi1 0.264 0.030 0.752
Bi2 0.264 0.470 0.252
Bi3 0.500 0.000 0.500
Bi4 0.500 0.500 0.000
Bi5 0.736 0.530 0.748
Bi6 0.736 0.970 0.248
O1 0.089 0.066 0.247
O2 0.089 0.434 0.747
O3 0.232 0.681 0.075
O4 0.232 0.819 0.575
O5 0.407 0.172 0.068
O6 0.407 0.328 0.568
O7 0.593 0.672 0.432
O8 0.593 0.828 0.932
O9 0.768 0.181 0.425
O10 0.768 0.319 0.925
O11 0.911 0.566 0.253
O12 0.911 0.934 0.753

Calculated total energy ... -126.95 eV for the cell shown
Raw formation energy ... -1.74 eV per atom
SG ... P2_1/c (14)


Question: What is the calculated total energy in the second record?
Answer: -23.49 eV for the cell shown